The following is a DFT calculation (PBE) of a relaxed structure of AcMgZn2Pd.

Energy of formation (eV per atom): -0.47
Space-group type: No. 44
V (Å³ per cell): 110.5

Lattice parameters (Å, degrees): 6.7299 6.7299 6.7299 143.18 142.50 53.56
Fractional positions:
Ac 0.0000 0.0000 0.0000
Mg 0.2566 0.7566 0.5000
Zn 0.6162 0.6162 0.0000
Zn 0.7549 0.2549 0.5000
Pd 0.3962 0.3962 0.0000